# Tc2TeRu

An optimized crystal structure of Tc2TeRu (PBE-GGA, the Alexandria database).

abc: 4.875 4.875 4.701
angles: 96.62 96.62 35.72
Fractional coordinates of all 4 atoms:
1 Tc 0.000 0.000 0.000
2 Tc 0.734 0.734 0.219
3 Te 0.235 0.235 0.717
4 Ru 0.469 0.469 0.448

Summary:
Space group: Cm
DFT total energy, eV per cell: -31.733

=====

# TcTe4Ru

An optimized crystal structure of TcTe4Ru (PBE-GGA, the Alexandria database).

abc: 6.161 6.161 6.161
angles: 60.00 60.00 60.00
Fractional coordinates of all 6 atoms:
1 Tc 0.000 0.000 0.000
2 Te 0.125 0.625 0.625
3 Te 0.625 0.125 0.625
4 Te 0.625 0.625 0.125
5 Te 0.625 0.625 0.625
6 Ru 0.250 0.250 0.250

Summary:
Space group: F-43m
DFT total energy, eV per cell: -22.751

=====

# TcTe2Ru

An optimized crystal structure of TcTe2Ru (PBE-GGA, the Alexandria database).

abc: 9.008 9.008 9.008
angles: 21.23 21.23 21.23
Fractional coordinates of all 4 atoms:
1 Tc 0.000 0.000 0.000
2 Te 0.095 0.095 0.095
3 Te 0.905 0.905 0.905
4 Ru 0.500 0.500 0.500

Summary:
Space group: R-3m
DFT total energy, eV per cell: -23.375

=====

# Th8Tc3Te4Ru

An optimized crystal structure of Th8Tc3Te4Ru (PBE-GGA, the Alexandria database).

abc: 9.063 9.063 9.063
angles: 55.03 55.03 55.03
Fractional coordinates of all 16 atoms:
1 Th 0.231 0.734 0.734
2 Th 0.234 0.234 0.234
3 Th 0.266 0.266 0.769
4 Th 0.266 0.769 0.266
5 Th 0.734 0.231 0.734
6 Th 0.734 0.734 0.231
7 Th 0.766 0.766 0.766
8 Th 0.769 0.266 0.266
9 Tc 0.000 0.000 0.500
10 Tc 0.000 0.500 0.000
11 Tc 0.500 0.000 0.000
12 Te 0.000 0.000 0.000
13 Te 0.000 0.500 0.500
14 Te 0.500 0.000 0.500
15 Te 0.500 0.500 0.000
16 Ru 0.500 0.500 0.500

Summary:
Space group: R-3m
DFT total energy, eV per cell: -122.921

=====

Values of formation energy (no corrections), in order: 0.354, 1.576, 0.637, -0.664, all in eV/atom.